1.
LaOsRh2 | PBE-GGA | relaxed

Cell lengths 9.4852, 2.9398, 5.2808 Å; angles 90.00, 100.91, 90.00 degrees
With the nearest neighbours (Å) after each atom.
Space group Cm (No. 8)
One atom of each set of equivalent atoms:
La (0.0000, 0.0000, 0.0000) x2  7 Rh 2.83-3.11, 2 La 2.94, 2 Os 3.13
Os (0.2415, 0.0000, 0.6569) x2  5 Rh 2.62-2.74
Rh (0.0069, 0.5000, 0.5215) x2  3 Os 2.65-2.74, 4 Rh 2.87-2.94, 2 La 2.93
Rh (0.2631, 0.5000, 0.2546) x2  2 Os 2.62, 1 La 2.83, 2 Rh 2.87

2.
LaOsRh2 | PBE-GGA | relaxed

Cell lengths 4.7836, 4.7836, 16.5293 Å; angles 90.00, 90.00, 90.00 degrees
With the nearest neighbours (Å) after each atom.
Space group I-42d (No. 122)
One atom of each set of equivalent atoms:
La (0.0000, 0.0000, 0.0000) x4  4 Rh 3.05, 4 Os 3.38
Os (0.0000, 0.0000, 0.5000) x4  4 Rh 2.44
Rh (0.1015, 0.2500, 0.6250) x8  2 Os 2.44, 2 Rh 2.58

3.
LaOsRh2 | PBE-GGA | relaxed

Cell lengths 4.1461, 4.1461, 8.2650 Å; angles 90.00, 90.00, 90.00 degrees
With the nearest neighbours (Å) after each atom.
Space group I-4m2 (No. 119)
One atom of each set of equivalent atoms:
La (0.0000, 0.0000, 0.0000) x2  4 Os 2.93, 8 Rh 2.93
Os (0.0000, 0.5000, 0.7500) x2  8 Rh 2.93, 4 La 2.93
Rh (0.0000, 0.0000, 0.5000) x2  4 Os 2.93, 4 Rh 2.93, 4 La 2.93
Rh (0.0000, 0.5000, 0.2500) x2  4 La 2.93, 4 Rh 2.93, 4 Os 2.93

In eV/atom, relative to the most stable structure: 1 0.000; 2 0.213; 3 0.119.

1.
LaOsRh2 | PBE-GGA | relaxed

Cell lengths 5.8972, 8.0036, 2.9310 Å; angles 90.00, 90.00, 90.00 degrees
With the nearest neighbours (Å) after each atom.
Space group Cmmm (No. 65)
One atom of each set of equivalent atoms:
La (0.0000, 0.0000, 0.0000) x2  8 Rh 2.89, 2 La 2.93, 2 Os 2.95
Os (0.0000, 0.5000, 0.0000) x2  8 Rh 2.89, 2 Os 2.93, 2 La 2.95
Rh (0.2500, 0.2500, 0.5000) x4  4 La 2.89, 4 Os 2.89, 4 Rh 2.93-2.95

2.
LaOsRh2 | PBE-GGA | relaxed

Cell lengths 2.9080, 4.7601, 10.3331 Å; angles 90.00, 90.00, 90.00 degrees
With the nearest neighbours (Å) after each atom.
Space group Imm2 (No. 44)
One atom of each set of equivalent atoms:
La (0.0000, 0.0000, 0.0000) x2  4 Rh 2.79, 2 La 2.91
Os (0.0000, 0.5000, 0.2255) x2  6 Rh 2.67-2.83, 2 Os 2.91
Rh (0.0000, 0.0000, 0.5085) x2  2 Os 2.67, 4 La 2.79, 4 Rh 2.83-2.91
Rh (0.0000, 0.5000, 0.7740) x2  4 Rh 2.83-2.91, 4 Os 2.83

In eV/atom, relative to the most stable structure: 1 0.000; 2 0.106.

1.
LaOsRh2 | PBE-GGA | relaxed

Cell lengths 2.9021, 2.9021, 8.3351 Å; angles 90.00, 90.00, 90.00 degrees
With the nearest neighbours (Å) after each atom.
Space group P4/mmm (No. 123)
One atom of each set of equivalent atoms:
La (0.0000, 0.0000, 0.0000) x1  4 La 2.90, 8 Rh 3.19
Os (0.0000, 0.0000, 0.5000) x1  8 Rh 2.68, 4 Os 2.90
Rh (0.5000, 0.5000, 0.2934) x2  4 Os 2.68, 4 Rh 2.90

2.
LaOsRh2 | PBE-GGA | relaxed

Cell lengths 4.1506, 4.3143, 7.9760 Å; angles 90.00, 90.00, 90.00 degrees
With the nearest neighbours (Å) after each atom.
Space group Immm (No. 71)
One atom of each set of equivalent atoms:
La (0.0000, 0.0000, 0.0000) x2  8 Rh 2.90-2.91, 4 Os 2.99
Os (0.0000, 0.0000, 0.5000) x2  8 Rh 2.85-2.96, 4 La 2.99
Rh (0.0000, 0.5000, 0.2457) x4  4 Os 2.85-2.96, 4 La 2.90-2.91, 4 Rh 2.99

3.
LaOsRh2 | PBE-GGA | relaxed

Cell lengths 2.9050, 4.5556, 5.4562 Å; angles 90.00, 99.05, 90.00 degrees
With the nearest neighbours (Å) after each atom.
Space group Pm (No. 6)
One atom of each set of equivalent atoms:
La (0.0000, 0.0000, 0.0000) x1  6 Rh 2.75-3.03, 2 La 2.91
Os (0.8236, 0.5000, 0.3768) x1  6 Rh 2.66-2.85, 2 Os 2.91
Rh (0.4110, 0.0000, 0.4890) x1  4 Os 2.69-2.85, 1 La 2.75, 4 Rh 2.81-2.91
Rh (0.4552, 0.5000, 0.7926) x1  2 Os 2.66-2.68, 4 Rh 2.81-2.91, 4 La 2.90-2.95

4.
LaOsRh2 | PBE-GGA | relaxed

Cell lengths 2.8616, 2.8616, 29.2078 Å; angles 90.00, 90.00, 120.00 degrees
With the nearest neighbours (Å) after each atom.
Space group R3m (No. 160, hexagonal axes)
One atom of each set of equivalent atoms:
La (0.0000, 0.0000, 0.0000) x3  6 La 2.86, 3 Rh 3.10
Os (0.0000, 0.0000, 0.7635) x3  3 Rh 2.64, 6 Os 2.86
Rh (0.0000, 0.0000, 0.2437) x3  9 Rh 2.78-2.86, 3 La 3.10
Rh (0.0000, 0.0000, 0.5007) x3  3 Os 2.64, 9 Rh 2.78-2.86

In eV/atom, relative to the most stable structure: 1 0.067; 2 0.112; 3 0.000; 4 0.441.

1.
LaOsRh3 | PBE-GGA | relaxed

Cell lengths 4.8027, 4.8027, 4.8027 Å; angles 90.00, 90.00, 90.00 degrees
With the nearest neighbours (Å) after each atom.
Space group Pm-3m (No. 221)
One atom of each set of equivalent atoms:
La (0.0000, 0.0000, 0.0000) x1  6 Rh 2.40
Os (0.5000, 0.5000, 0.5000) x1  12 Rh 3.40
Rh (0.0000, 0.0000, 0.5000) x3  2 La 2.40

2.
LaOsRh3 | PBE-GGA | relaxed

Cell lengths 4.7752, 4.7752, 4.7752 Å; angles 90.00, 90.00, 90.00 degrees
With the nearest neighbours (Å) after each atom.
Space group Pm-3m (No. 221)
One atom of each set of equivalent atoms:
La (0.0000, 0.0000, 0.0000) x1  12 Rh 3.38
Os (0.5000, 0.5000, 0.5000) x1  6 Rh 2.39
Rh (0.0000, 0.5000, 0.5000) x3  2 Os 2.39

In eV/atom, relative to the most stable structure: 1 1.473; 2 0.000.

1.
LaOsRu2 | PBE-GGA | relaxed

Cell lengths 2.9122, 4.7404, 10.2654 Å; angles 90.00, 90.00, 90.00 degrees
With the nearest neighbours (Å) after each atom.
Space group Imm2 (No. 44)
One atom of each set of equivalent atoms:
La (0.0000, 0.0000, 0.0000) x2  4 Ru 2.78, 2 La 2.91
Os (0.0000, 0.5000, 0.7795) x2  6 Ru 2.66-2.84, 2 Os 2.91
Ru (0.0000, 0.0000, 0.4961) x2  2 Os 2.66, 4 Ru 2.74-2.91, 4 La 2.78
Ru (0.0000, 0.5000, 0.2218) x2  4 Ru 2.74-2.91, 4 Os 2.84

2.
LaOsRu2 | PBE-GGA | relaxed

Cell lengths 2.8357, 3.7328, 6.8670 Å; angles 90.00, 90.00, 90.00 degrees
With the nearest neighbours (Å) after each atom.
Space group Pmmm (No. 47)
One atom of each set of equivalent atoms:
La (0.0000, 0.0000, 0.0000) x1  2 La 2.84
Os (0.0000, 0.0000, 0.5000) x1  8 Ru 2.67, 2 Os 2.84
Ru (0.5000, 0.5000, 0.3129) x2  3 Ru 2.57-2.84, 4 Os 2.67

In eV/atom, relative to the most stable structure: 1 0.124; 2 0.000.

1.
LaOsRu2 | PBE-GGA | relaxed

Cell lengths 5.9567, 7.9323, 2.9119 Å; angles 90.00, 90.00, 90.00 degrees
With the nearest neighbours (Å) after each atom.
Space group Cmmm (No. 65)
One atom of each set of equivalent atoms:
La (0.0000, 0.0000, 0.0000) x2  8 Ru 2.88, 2 La 2.91, 2 Os 2.98
Os (0.0000, 0.5000, 0.0000) x2  8 Ru 2.88, 2 Os 2.91, 2 La 2.98
Ru (0.2500, 0.2500, 0.5000) x4  4 La 2.88, 4 Os 2.88, 4 Ru 2.91-2.98

2.
LaOsRu2 | PBE-GGA | relaxed

Cell lengths 6.5859, 6.5859, 6.5859 Å; angles 90.00, 90.00, 90.00 degrees
With the nearest neighbours (Å) after each atom.
Space group Fm-3m (No. 225)
One atom of each set of equivalent atoms:
La (0.0000, 0.0000, 0.0000) x4  8 Ru 2.85
Os (0.0000, 0.0000, 0.5000) x4  8 Ru 2.85
Ru (0.2500, 0.2500, 0.2500) x8  4 La 2.85, 4 Os 2.85

In eV/atom, relative to the most stable structure: 1 0.000; 2 0.093.

1.
LaOsRu2 | PBE-GGA | relaxed

Cell lengths 4.1643, 4.1643, 8.0516 Å; angles 90.00, 90.00, 90.00 degrees
With the nearest neighbours (Å) after each atom.
Space group I-4m2 (No. 119)
One atom of each set of equivalent atoms:
La (0.0000, 0.0000, 0.0000) x2  8 Ru 2.90-2.94, 4 Os 2.90
Os (0.0000, 0.5000, 0.7500) x2  4 La 2.90, 8 Ru 2.90-2.94
Ru (0.0000, 0.0000, 0.5000) x2  4 Os 2.90, 4 Ru 2.90, 4 La 2.94
Ru (0.0000, 0.5000, 0.2500) x2  4 La 2.90, 4 Ru 2.90, 4 Os 2.94

2.
LaOsRu2 | PBE-GGA | relaxed

Cell lengths 4.3306, 4.3306, 7.4549 Å; angles 90.00, 90.00, 90.00 degrees
With the nearest neighbours (Å) after each atom.
Space group I4/mmm (No. 139)
One atom of each set of equivalent atoms:
La (0.0000, 0.0000, 0.0000) x2  8 Ru 2.86, 4 Os 3.06
Os (0.0000, 0.0000, 0.5000) x2  8 Ru 2.86, 4 La 3.06
Ru (0.0000, 0.5000, 0.2500) x4  4 La 2.86, 4 Os 2.86, 4 Ru 3.06

In eV/atom, relative to the most stable structure: 1 0.047; 2 0.000.

1.
LaOsRu2 | PBE-GGA | relaxed

Cell lengths 2.8506, 2.8506, 29.2912 Å; angles 90.00, 90.00, 120.00 degrees
With the nearest neighbours (Å) after each atom.
Space group R-3m (No. 166, hexagonal axes)
One atom of each set of equivalent atoms:
La (0.0000, 0.0000, 0.0000) x3  6 La 2.85
Os (0.0000, 0.0000, 0.5000) x3  6 Ru 2.66, 6 Os 2.85
Ru (0.0000, 0.0000, 0.2381) x6  3 Os 2.66, 6 Ru 2.85

2.
LaOsRu2 | PBE-GGA | relaxed

Cell lengths 2.9532, 2.9532, 8.0473 Å; angles 90.00, 90.00, 90.00 degrees
With the nearest neighbours (Å) after each atom.
Space group P4/mmm (No. 123)
One atom of each set of equivalent atoms:
La (0.0000, 0.0000, 0.0000) x1  4 La 2.95, 8 Ru 3.17
Os (0.0000, 0.0000, 0.5000) x1  8 Ru 2.65, 4 Os 2.95
Ru (0.5000, 0.5000, 0.2967) x2  4 Os 2.65, 4 Ru 2.95

In eV/atom, relative to the most stable structure: 1 0.324; 2 0.000.

1.
LaOsRu2 | PBE-GGA | relaxed

Cell lengths 9.7167, 2.9583, 5.1418 Å; angles 90.00, 102.57, 90.00 degrees
With the nearest neighbours (Å) after each atom.
Space group Cm (No. 8)
One atom of each set of equivalent atoms:
La (0.0000, 0.0000, 0.0000) x2  7 Ru 2.90-3.10, 2 La 2.96, 3 Os 3.10-3.18
Os (0.2296, 0.0000, 0.6640) x2  4 Ru 2.57-2.64
Ru (0.0012, 0.5000, 0.5125) x2  3 Os 2.64-2.91, 2 Ru 2.72, 2 La 2.91
Ru (0.2721, 0.5000, 0.2815) x2  2 Os 2.57, 2 Ru 2.72

2.
LaOsRu2 | PBE-GGA | relaxed

Cell lengths 4.1918, 4.1918, 4.0175 Å; angles 90.00, 90.00, 90.00 degrees
With the nearest neighbours (Å) after each atom.
Space group P4/mmm (No. 123)
One atom of each set of equivalent atoms:
La (0.0000, 0.0000, 0.0000) x1  8 Ru 2.90, 4 Os 2.96
Os (0.5000, 0.5000, 0.0000) x1  8 Ru 2.90, 4 La 2.96
Ru (0.0000, 0.5000, 0.5000) x2  4 La 2.90, 4 Os 2.90, 4 Ru 2.96

3.
LaOsRu2 | PBE-GGA | relaxed

Cell lengths 9.3170, 2.9598, 5.4634 Å; angles 90.00, 101.74, 90.00 degrees
With the nearest neighbours (Å) after each atom.
Space group C2/m (No. 12)
One atom of each set of equivalent atoms:
La (0.0000, 0.0000, 0.0000) x2  2 La 2.96, 6 Ru 3.05-3.10, 4 Os 3.11
Os (0.0000, 0.5000, 0.5000) x2  6 Ru 2.65-2.85, 2 Os 2.96
Ru (0.2334, 0.0000, 0.6812) x4  2 Ru 2.54, 2 Os 2.65

4.
LaOsRu2 | PBE-GGA | relaxed

Cell lengths 7.4596, 7.4596, 5.8567 Å; angles 90.00, 90.00, 90.00 degrees
With the nearest neighbours (Å) after each atom.
Space group I-42d (No. 122)
One atom of each set of equivalent atoms:
La (0.0000, 0.0000, 0.0000) x4  2 Os 2.93, 8 Ru 3.07-3.20
Os (0.0000, 0.0000, 0.5000) x4  4 Ru 2.44
Ru (0.1877, 0.7500, 0.6250) x8  2 Os 2.44

In eV/atom, relative to the most stable structure: 1 0.000; 2 0.183; 3 0.008; 4 0.145.

1.
LaOsRu2 | PBE-GGA | relaxed

Cell lengths 4.8283, 4.8283, 3.0003 Å; angles 90.00, 90.00, 90.00 degrees
With the nearest neighbours (Å) after each atom.
Space group P4/mmm (No. 123)
One atom of each set of equivalent atoms:
La (0.0000, 0.0000, 0.0000) x1  8 Ru 2.84, 2 La 3.00
Os (0.5000, 0.5000, 0.0000) x1  8 Ru 2.84, 2 Os 3.00
Ru (0.0000, 0.5000, 0.5000) x2  4 La 2.84, 4 Os 2.84, 2 Ru 3.00

2.
LaOsRu2 | PBE-GGA | relaxed

Cell lengths 2.8190, 3.7976, 6.8095 Å; angles 90.00, 90.00, 90.00 degrees
With the nearest neighbours (Å) after each atom.
Space group Pmm2 (No. 25)
One atom of each set of equivalent atoms:
La (0.0000, 0.0000, 0.0000) x1  2 La 2.82, 4 Ru 3.16
Os (0.5000, 0.5000, 0.3199) x1  5 Ru 2.54-2.66, 2 Os 2.82
Ru (0.0000, 0.0000, 0.4972) x1  4 Os 2.66, 6 Ru 2.72-2.82
Ru (0.5000, 0.5000, 0.6931) x1  1 Os 2.54, 6 Ru 2.72-2.82

3.
LaOsRu2 | PBE-GGA | relaxed

Cell lengths 2.9463, 4.9720, 9.8291 Å; angles 90.00, 90.00, 90.00 degrees
With the nearest neighbours (Å) after each atom.
Space group Immm (No. 71)
One atom of each set of equivalent atoms:
La (0.0000, 0.0000, 0.0000) x2  4 Os 2.89, 2 La 2.95, 4 Ru 3.11
Os (0.0000, 0.0000, 0.5000) x2  4 Ru 2.63, 4 La 2.89
Ru (0.0000, 0.5000, 0.2212) x4  2 Os 2.63

4.
LaOsRu2 | PBE-GGA | relaxed

Cell lengths 2.8320, 2.8320, 29.6364 Å; angles 90.00, 90.00, 120.00 degrees
With the nearest neighbours (Å) after each atom.
Space group R3m (No. 160, hexagonal axes)
One atom of each set of equivalent atoms:
La (0.0000, 0.0000, 0.0000) x3  6 La 2.83
Os (0.0000, 0.0000, 0.2372) x3  3 Ru 2.66, 6 Os 2.83
Ru (0.0000, 0.0000, 0.4996) x3  3 Os 2.66, 9 Ru 2.68-2.83
Ru (0.0000, 0.0000, 0.7613) x3  9 Ru 2.68-2.83

In eV/atom, relative to the most stable structure: 1 0.164; 2 0.000; 3 0.123; 4 0.285.

1.
LaOsRu2 | PBE-GGA | relaxed

Cell lengths 6.5996, 6.5996, 6.5996 Å; angles 90.00, 90.00, 90.00 degrees
With the nearest neighbours (Å) after each atom.
Space group F-43m (No. 216)
One atom of each set of equivalent atoms:
La (0.0000, 0.0000, 0.0000) x4  4 Ru 2.86, 4 Os 2.86
Os (0.2500, 0.2500, 0.7500) x4  4 La 2.86, 4 Ru 2.86
Ru (0.0000, 0.0000, 0.5000) x4  4 Os 2.86, 4 Ru 2.86
Ru (0.2500, 0.2500, 0.2500) x4  4 Ru 2.86, 4 La 2.86

2.
LaOsRu2 | PBE-GGA | relaxed

Cell lengths 2.9354, 2.9354, 8.1314 Å; angles 90.00, 90.00, 90.00 degrees
With the nearest neighbours (Å) after each atom.
Space group P4mm (No. 99)
One atom of each set of equivalent atoms:
La (0.0000, 0.0000, 0.0000) x1  4 La 2.94, 4 Ru 3.17, 4 Os 3.19
Os (0.5000, 0.5000, 0.2979) x1  4 Ru 2.64, 4 Os 2.94
Ru (0.0000, 0.0000, 0.4989) x1  4 Os 2.64, 8 Ru 2.67-2.94
Ru (0.5000, 0.5000, 0.7058) x1  8 Ru 2.67-2.94

In eV/atom, relative to the most stable structure: 1 0.273; 2 0.000.